VASP calculation (PBE) on AcPuCo after structural relaxation.

Relative energy among the computed polymorphs: 35 meV/atom
Energy relative to the elements: 173 meV/atom
E_tot: -8.34 eV per atom
Space-group type: I4mm (107)
Calculated density: 11.432 g/cm³

Unit cell a=6.520 b=6.520 c=6.520 alpha=148.14 beta=148.14 gamma=45.68
Sites, in units of the cell vectors:
Ac: 0.000 0.000 0.000
Pu: 0.273 0.273 0.000
Co: 0.696 0.696 0.000